[1]
{"formula": "Al2Zn3Cu7", "functional": "PBE", "state": "relaxed", "lattice": [[-4.134, -0.559, 0.494], [0.727, -2.307, 3.472], [-0.801, 9.156, 3.659]], "species": ["Al", "Al", "Cu", "Cu", "Cu", "Cu", "Cu", "Cu", "Cu", "Zn", "Zn", "Zn"], "frac_coords": [[0.500, 0.652, 0.304], [0.500, 0.348, 0.696], [0.500, 0.924, 0.850], [0.000, 0.427, 0.853], [0.000, 0.000, 0.000], [0.500, 0.076, 0.150], [0.500, 0.782, 0.563], [0.000, 0.573, 0.147], [0.500, 0.218, 0.437], [0.000, 0.853, 0.705], [0.000, 0.147, 0.295], [0.500, 0.500, 0.000]], "total_magnetization_mub_per_cell": 0.00, "spacegroup": "P2/m (10)"}


[2]
{"formula": "Al2ZnCu3", "functional": "PBE", "state": "relaxed", "lattice": [[-0.874, 2.186, 1.931], [-2.318, 0.704, -1.845], [-4.975, -5.618, 4.108]], "species": ["Cu", "Cu", "Cu", "Al", "Al", "Zn"], "frac_coords": [[0.000, 0.000, 0.000], [0.000, 0.000, 0.669], [0.000, 0.000, 0.331], [0.500, 0.500, 0.833], [0.500, 0.500, 0.167], [0.500, 0.500, 0.500]], "total_magnetization_mub_per_cell": 0.00, "spacegroup": "P4/mmm (123)"}


Formation enthalpy at 0 K values, unit eV/atom, following the record order: -0.019; -0.155.
VASP energy values, unit Ry per atom, following the record order: -0.2463; -0.2692.
Theoretical density values, unit kg/m3, following the record order: 6720; 6490.